[1]
A plane-wave DFT calculation with PBE was carried out for a relaxed Cs4TeH2 crystal.

abc: 10.517 15.599 15.636
angles: 90.00 90.00 90.00
Space group Fddd (No. 70, origin choice 2)
Inequivalent atoms, fractional coordinates:
Cs1 0.042 0.286 0.463 [32 per cell]
Te1 0.125 0.125 0.625 [8 per cell]
H1 0.000 0.000 0.000 [16 per cell]

Raw total energy: -133.9 eV for the cell shown
DOS(E_F): 0.00 states/eV per cell
Energy above the lowest structure with this stoichiometry: 0 meV per atom

[2]
A plane-wave DFT calculation with PBE was carried out for a relaxed FeB3Pb crystal.

abc: 4.552 4.552 4.552
angles: 90.00 90.00 90.00
Space group Pm-3m (No. 221)
Inequivalent atoms, fractional coordinates:
Fe1 0.000 0.000 0.000 [1 per cell]
B1 0.000 0.500 0.500 [3 per cell]
Pb1 0.500 0.500 0.500 [1 per cell]

Formation energy from the elements: 3.17 eV per atom
Raw total energy: -16.4 eV for the cell shown
DOS(E_F): 9.89 states/eV per cell
Energy above the lowest structure with this stoichiometry: 2185 meV per atom

[3]
A plane-wave DFT calculation with PBE was carried out for a relaxed Cd8SnHg4 crystal.

abc: 4.458 4.460 16.167
angles: 90.00 90.00 90.00
Space group Pmm2 (No. 25)
Inequivalent atoms, fractional coordinates:
Cd1 0.000 0.000 0.000 [1 per cell]
Cd2 0.000 0.000 0.273 [1 per cell]
Cd3 0.000 0.500 0.146 [1 per cell]
Cd4 0.000 0.500 0.574 [1 per cell]
Cd5 0.500 0.000 0.573 [1 per cell]
Cd6 0.500 0.000 0.858 [1 per cell]
Cd7 0.500 0.500 0.004 [1 per cell]
Cd8 0.500 0.500 0.713 [1 per cell]
Sn1 0.000 0.000 0.450 [1 per cell]
Hg1 0.000 0.000 0.715 [1 per cell]
Hg2 0.000 0.500 0.861 [1 per cell]
Hg3 0.500 0.000 0.148 [1 per cell]
Hg4 0.500 0.500 0.356 [1 per cell]

Formation energy from the elements: 0.05 eV per atom
Raw total energy: -11.9 eV for the cell shown
DOS(E_F): 4.69 states/eV per cell

[4]
A plane-wave DFT calculation with PBE was carried out for a relaxed PmSm2Dy3Te6 crystal.

abc: 19.243 4.371 8.872
angles: 90.00 104.07 90.00
Space group C2/m (No. 12)
Inequivalent atoms, fractional coordinates:
Pm1 0.000 0.000 0.000 [2 per cell]
Sm1 0.166 0.500 0.332 [4 per cell]
Dy1 0.000 0.000 0.500 [2 per cell]
Dy2 0.166 0.500 0.833 [4 per cell]
Te1 0.002 0.500 0.744 [4 per cell]
Te2 0.165 0.000 0.587 [4 per cell]
Te3 0.169 0.000 0.079 [4 per cell]

E_form (uncorrected): -16.05 eV/f.u.
Raw total energy: -125.8 eV for the cell shown
DOS(E_F): 12.29 states/eV per cell

[5]
A plane-wave DFT calculation with PBE was carried out for a relaxed AcCePa2O8 crystal.

abc: 5.596 5.596 10.994
angles: 90.00 90.00 90.00
Space group I-4m2 (No. 119)
Inequivalent atoms, fractional coordinates:
Ac1 0.000 0.000 0.000 [2 per cell]
Ce1 0.000 0.500 0.750 [2 per cell]
Pa1 0.000 0.000 0.500 [2 per cell]
Pa2 0.000 0.500 0.250 [2 per cell]
O1 0.227 0.244 0.372 [16 per cell]

E_form (uncorrected): -43.40 eV/f.u.
Raw total energy: -224.2 eV for the cell shown
DOS(E_F): 15.67 states/eV per cell

[6]
A plane-wave DFT calculation with PBE was carried out for a relaxed Hg4Pt3 crystal.

abc: 5.5644 5.5644 5.2187
angles: 90.00 90.00 120.00
Space group P6/mmm (No. 191)
Inequivalent atoms, fractional coordinates:
Hg1 0.0000 0.0000 0.2481 [2 per cell]
Hg2 0.3333 0.6667 0.0000 [2 per cell]
Pt1 0.0000 0.5000 0.5000 [3 per cell]

Formation energy from the elements: 0.12 eV per atom
Raw total energy: -18.5 eV for the cell shown
DOS(E_F): 4.51 states/eV per cell
Energy above the lowest structure with this stoichiometry: 0 meV per atom

[7]
A plane-wave DFT calculation with PBE was carried out for a relaxed ReRu2PtC crystal.

abc: 4.963 4.963 3.629
angles: 90.00 90.00 90.00
Space group P4/mmm (No. 123)
Inequivalent atoms, fractional coordinates:
Re1 0.000 0.000 0.000 [1 per cell]
Ru1 0.000 0.500 0.500 [2 per cell]
Pt1 0.500 0.500 0.500 [1 per cell]
C1 0.500 0.500 0.000 [1 per cell]

Formation energy from the elements: 2.24 eV per atom
Raw total energy: -35.1 eV for the cell shown
DOS(E_F): 6.31 states/eV per cell
Energy above the lowest structure with this stoichiometry: 1564 meV per atom

[8]
A plane-wave DFT calculation with PBE was carried out for a relaxed Tb6Dy2YSc3 crystal.

abc: 6.060 10.488 11.461
angles: 90.00 100.12 90.00
Space group C2/m (No. 12)
Inequivalent atoms, fractional coordinates:
Tb1 0.246 0.167 0.241 [8 per cell]
Tb2 0.247 0.500 0.241 [4 per cell]
Dy1 0.000 0.167 0.500 [4 per cell]
Y1 0.000 0.500 0.500 [2 per cell]
Sc1 0.000 0.000 0.000 [2 per cell]
Sc2 0.000 0.333 0.000 [4 per cell]

Formation energy from the elements: 0.04 eV per atom
Raw total energy: -123.8 eV for the cell shown
DOS(E_F): 34.21 states/eV per cell

[9]
A plane-wave DFT calculation with PBE was carried out for a relaxed TaBe2SiTe crystal.

abc: 4.325 4.325 5.435
angles: 90.00 90.00 90.00
Space group P4/mmm (No. 123)
Inequivalent atoms, fractional coordinates:
Ta1 0.000 0.000 0.000 [1 per cell]
Be1 0.000 0.500 0.500 [2 per cell]
Si1 0.500 0.500 0.000 [1 per cell]
Te1 0.000 0.000 0.500 [1 per cell]

E_form (uncorrected): 7.90 eV/f.u.
Raw total energy: -20.0 eV for the cell shown
DOS(E_F): 4.16 states/eV per cell

[10]
A plane-wave DFT calculation with PBE was carried out for a relaxed ScAlN2 crystal.

abc: 3.0308 3.0308 15.6532
angles: 90.00 90.00 120.00
Space group R3m (No. 160, hexagonal axes)
Inequivalent atoms, fractional coordinates:
Sc1 0.0000 0.0000 0.0000 [3 per cell]
Al1 0.0000 0.0000 0.1714 [3 per cell]
N1 0.0000 0.0000 0.4192 [3 per cell]
N2 0.0000 0.0000 0.5796 [3 per cell]

E_form (uncorrected): -4.67 eV/f.u.
Raw total energy: -94.2 eV for the cell shown

[11]
A plane-wave DFT calculation with PBE was carried out for a relaxed MgW4Se crystal.

abc: 7.598 7.598 7.598
angles: 90.00 90.00 90.00
Space group F-43m (No. 216)
Inequivalent atoms, fractional coordinates:
Mg1 0.000 0.000 0.000 [4 per cell]
W1 0.125 0.125 0.375 [16 per cell]
Se1 0.250 0.250 0.750 [4 per cell]

E_form (uncorrected): 4.43 eV/f.u.
Raw total energy: -209.8 eV for the cell shown
DOS(E_F): 17.33 states/eV per cell

[12]
A plane-wave DFT calculation with PBE was carried out for a relaxed Zr4Cu3Pd crystal.

abc: 3.285 4.230 10.472
angles: 90.00 90.00 90.00
Space group Pmm2 (No. 25)
Inequivalent atoms, fractional coordinates:
Zr1 0.000 0.000 0.000 [1 per cell]
Zr2 0.000 0.500 0.296 [1 per cell]
Zr3 0.500 0.000 0.492 [1 per cell]
Zr4 0.500 0.500 0.797 [1 per cell]
Cu1 0.000 0.500 0.566 [1 per cell]
Cu2 0.500 0.000 0.218 [1 per cell]
Cu3 0.500 0.500 0.073 [1 per cell]
Pd1 0.000 0.000 0.720 [1 per cell]

Formation energy from the elements: -0.24 eV per atom
Raw total energy: -53.6 eV for the cell shown
DOS(E_F): 10.11 states/eV per cell